Here is an optimized crystal structure of PmNd2As from Alexandria. Energies are from GGA-PBE.

POSCAR file:
```
PmNd2As
1.0
1.994 1.151 9.650
-1.994 1.151 9.650
0.000 -2.302 9.650
Pm Nd As
1 2 1
Cartesian
0.000 0.000 0.000 Pm
0.000 0.000 6.620 Nd
0.000 0.000 22.331 Nd
0.000 0.000 14.475 As
```

Calculated values
* final energy: -21.3 eV/f.u.
* symmetry: No. 166
* formation enthalpy at 0 K: -0.5876 eV/atom


Here is an optimized crystal structure of Al2BiBS6 from Alexandria. Energies are from GGA-PBE.

POSCAR file:
```
Al2BiBS6
1.0
6.285 -5.533 0.000
6.285 5.533 0.000
-3.085 0.000 6.362
Al Bi B S
4 2 2 12
Cartesian
1.904 0.756 0.967 Al
0.361 -0.756 4.148 Al
9.124 0.756 2.214 Al
7.582 -0.756 5.395 Al
3.971 1.675 4.771 Bi
5.514 -1.675 1.590 Bi
5.514 1.989 1.590 B
3.971 -1.989 4.771 B
0.576 0.989 2.790 S
1.905 2.769 6.286 S
-0.967 -0.989 5.971 S
3.991 0.824 2.044 S
6.038 2.769 3.257 S
2.449 -0.824 5.225 S
7.037 0.824 1.137 S
3.448 -2.769 3.105 S
5.494 -0.824 4.318 S
10.452 0.989 0.391 S
7.580 -2.769 0.076 S
8.910 -0.989 3.572 S
```

Calculated values
* final energy: -48.5 eV/f.u.
* E_form (uncorrected): -5.68 eV per formula unit
* symmetry: No. 15


Here is an optimized crystal structure of MgCuGe from Alexandria. Energies are from GGA-PBE.

POSCAR file:
```
MgCuGe
1.0
6.325 0.000 0.000
0.000 4.106 0.000
-0.097 0.000 11.454
Mg Cu Ge
6 6 6
Cartesian
-0.002 1.027 2.265 Mg
2.032 1.027 4.908 Mg
3.107 1.027 1.522 Mg
3.121 3.080 9.932 Mg
4.196 3.080 6.546 Mg
6.231 3.080 9.189 Mg
0.048 3.080 4.761 Cu
1.174 3.080 0.556 Cu
1.908 1.027 8.253 Cu
4.321 3.080 3.201 Cu
5.054 1.027 10.898 Cu
6.181 1.027 6.693 Cu
1.268 1.027 10.682 Ge
1.442 3.080 6.858 Ge
1.823 3.080 2.951 Ge
4.406 1.027 8.503 Ge
4.786 1.027 4.596 Ge
4.960 3.080 0.772 Ge
```

Calculated values
* final energy: -10.8 eV/f.u.
* symmetry: No. 11
* formation enthalpy at 0 K: -0.1554 eV/atom


Here is an optimized crystal structure of CaAcH6Pd4 from Alexandria. Energies are from GGA-PBE.

POSCAR file:
```
CaAcH6Pd4
1.0
4.938 0.000 0.000
-2.469 4.277 0.000
0.000 0.000 7.243
Ca Ac H Pd
1 1 6 4
Cartesian
0.000 0.000 0.000 Ca
0.000 0.000 3.622 Ac
-1.235 2.138 2.436 H
-1.235 2.138 4.808 H
2.469 0.000 2.436 H
2.469 0.000 4.808 H
1.235 2.138 2.436 H
1.235 2.138 4.808 H
0.000 2.851 1.394 Pd
0.000 2.851 5.849 Pd
2.469 1.426 1.394 Pd
2.469 1.426 5.849 Pd
```

Calculated values
* final energy: -51.6 eV/f.u.
* symmetry: No. 191


Here is an optimized crystal structure of NdYTcAg from Alexandria. Energies are from GGA-PBE.

POSCAR file:
```
NdYTcAg
1.0
0.000 3.578 3.578
3.578 0.000 3.578
3.578 3.578 0.000
Nd Y Tc Ag
1 1 1 1
Cartesian
0.000 0.000 0.000 Nd
3.578 3.578 3.578 Y
5.367 5.367 5.367 Tc
1.789 1.789 1.789 Ag
```

Calculated values
* final energy: -24.6 eV/f.u.
* symmetry: No. 216
* formation enthalpy at 0 K: -0.0322 eV/atom


Here is an optimized crystal structure of Sm2Ga3PdPt12 from Alexandria. Energies are from GGA-PBE.

POSCAR file:
```
Sm2Ga3PdPt12
1.0
4.137 2.388 6.149
-4.137 2.388 6.149
0.000 -4.777 6.149
Sm Ga Pd Pt
2 3 1 12
Cartesian
0.000 0.000 2.029 Sm
0.000 0.000 16.420 Sm
-2.068 -1.194 6.149 Ga
-2.068 1.194 12.299 Ga
0.000 2.388 6.149 Ga
0.000 0.000 9.224 Pd
-2.179 -1.258 8.607 Pt
0.000 -2.257 5.331 Pt
-1.955 1.129 5.331 Pt
0.000 -2.516 9.842 Pt
-2.179 1.258 9.842 Pt
-1.955 -1.129 13.118 Pt
1.955 1.129 5.331 Pt
2.179 -1.258 8.607 Pt
0.000 2.516 8.607 Pt
1.955 -1.129 13.118 Pt
0.000 2.257 13.118 Pt
2.179 1.258 9.842 Pt
```

Calculated values
* final energy: -101.3 eV/f.u.
* symmetry: No. 166
* formation enthalpy at 0 K: -0.2832 eV/atom


Here is an optimized crystal structure of Nd2Dy3Mg from Alexandria. Energies are from GGA-PBE.

POSCAR file:
```
Nd2Dy3Mg
1.0
-1.663 5.034 5.904
1.663 -5.034 5.904
1.663 5.034 -5.904
Nd Dy Mg
2 3 1
Cartesian
0.000 1.724 0.000 Nd
0.000 8.344 0.000 Nd
1.663 -1.656 2.958 Dy
1.663 1.656 2.958 Dy
0.000 0.000 8.622 Dy
1.663 0.000 5.758 Mg
```

Calculated values
* final energy: -22.7 eV/f.u.
* symmetry: No. 44
* ΔE to the lowest computed polymorph: 248.2 meV/atom
* formation enthalpy at 0 K: 0.3777 eV/atom


Here is an optimized crystal structure of VCuSn from Alexandria. Energies are from GGA-PBE.

POSCAR file:
```
VCuSn
1.0
4.410 0.000 0.000
-2.205 3.819 0.000
0.000 0.000 2.929
V Cu Sn
1 1 1
Cartesian
0.000 0.000 0.000 V
0.000 2.546 1.464 Cu
2.205 1.273 1.464 Sn
```

Calculated values
* final energy: -16.7 eV/f.u.
* symmetry: No. 187
* formation enthalpy at 0 K: 0.1772 eV/atom


Here is an optimized crystal structure of KPmAg2Br6 from Alexandria. Energies are from GGA-PBE.

POSCAR file:
```
KPmAg2Br6
1.0
7.478 0.000 0.000
-3.737 6.483 0.000
-3.736 -2.160 6.830
K Pm Ag Br
1 1 2 6
Cartesian
0.000 0.000 0.000 K
3.744 2.163 3.088 Pm
0.004 0.004 6.025 Ag
0.000 4.326 2.866 Ag
-1.558 2.555 1.215 Br
-2.472 -0.026 4.524 Br
-2.471 4.353 4.523 Br
2.990 0.082 1.219 Br
2.314 3.856 1.221 Br
1.218 2.164 4.525 Br
```

Calculated values
* final energy: -33.8 eV/f.u.
* E_form (uncorrected): -12.17 eV per formula unit
* symmetry: No. 1


Here is an optimized crystal structure of Sm3Al3Au8 from Alexandria. Energies are from GGA-PBE.

POSCAR file:
```
Sm3Al3Au8
1.0
8.144 -2.318 0.000
8.144 2.318 0.000
-4.846 0.000 7.604
Sm Al Au
3 3 8
Cartesian
0.000 0.000 0.000 Sm
3.454 0.000 2.064 Sm
7.988 0.000 5.540 Sm
-2.423 0.000 3.802 Al
2.167 0.000 5.100 Al
9.275 0.000 2.504 Al
-1.967 0.000 6.374 Au
0.230 0.000 3.287 Au
1.065 0.000 7.333 Au
4.810 0.000 5.017 Au
6.632 0.000 2.587 Au
10.377 0.000 0.270 Au
11.212 0.000 4.317 Au
13.408 0.000 1.230 Au
```

Calculated values
* final energy: -61.6 eV/f.u.
* symmetry: No. 12
* ΔE to the lowest computed polymorph: 0.0 meV/atom
* formation enthalpy at 0 K: -0.7124 eV/atom


Here is an optimized crystal structure of SrZn2BiPt from Alexandria. Energies are from GGA-PBE.

POSCAR file:
```
SrZn2BiPt
1.0
4.925 0.000 0.000
0.000 4.925 0.000
0.000 0.000 5.701
Sr Zn Bi Pt
1 2 1 1
Cartesian
0.000 0.000 0.000 Sr
0.000 2.463 2.851 Zn
2.463 0.000 2.851 Zn
2.463 2.463 0.000 Bi
0.000 0.000 2.851 Pt
```

Calculated values
* final energy: -15.5 eV/f.u.
* symmetry: No. 123
* formation enthalpy at 0 K: -0.2640 eV/atom


Here is an optimized crystal structure of Ca2Ac6Pr5 from Alexandria. Energies are from GGA-PBE.

POSCAR file:
```
Ca2Ac6Pr5
1.0
12.733 0.000 0.000
0.000 21.986 0.000
0.000 0.000 3.845
Ca Ac Pr
4 12 10
Cartesian
2.112 4.653 0.000 Ca
4.254 15.646 0.000 Ca
8.479 6.340 0.000 Ca
10.621 17.333 0.000 Ca
0.650 20.197 0.000 Ac
1.022 13.915 0.000 Ac
2.352 8.151 1.923 Ac
4.015 19.144 1.923 Ac
5.344 2.922 0.000 Ac
5.717 9.204 0.000 Ac
7.017 12.782 0.000 Ac
7.389 19.064 0.000 Ac
8.718 2.842 1.923 Ac
10.381 13.835 1.923 Ac
11.711 8.071 0.000 Ac
12.083 1.789 0.000 Ac
0.000 10.993 1.923 Pr
1.135 17.014 1.923 Pr
2.611 1.107 1.923 Pr
3.755 12.100 1.923 Pr
5.232 6.021 1.923 Pr
6.367 0.000 1.923 Pr
7.502 15.965 1.923 Pr
8.978 9.886 1.923 Pr
10.122 20.879 1.923 Pr
11.598 4.972 1.923 Pr
```

Calculated values
* final energy: -51.0 eV/f.u.
* symmetry: No. 55
* formation enthalpy at 0 K: 0.1202 eV/atom